The following is a PBE-GGA calculation of Pr5Dy2Ho2 after structural relaxation, from Alexandria.

Geometry as extended XYZ:
```
9
Lattice="-4.440 4.475 -0.173 -0.298 -6.258 -0.718 4.181 -8.779 10.177" Properties=species:S:1:pos:R:3 pbc="T T T"
Pr -1.716 -3.146 0.592
Pr 1.159 -7.417 8.694
Pr 1.239 -5.969 5.368
Pr -1.796 -4.594 3.918
Pr 0.000 0.000 0.000
Dy -0.170 -2.874 6.667
Dy -0.387 -7.689 2.618
Ho 2.566 -10.508 7.397
Ho -3.123 -0.055 1.889
```

Calculated values
Energy relative to the elements   0.02 eV/atom
Energy above the most stable polymorph in this dataset   0.0 kJ/mol of atoms
Spin magnetization   0.00 μB per formula unit

=====

The following is a PBE-GGA calculation of Pr6Dy12Ho after structural relaxation, from Alexandria.

Geometry as extended XYZ:
```
19
Lattice="8.699 -0.159 -1.200 -1.355 8.594 -1.200 -0.138 -0.159 8.780" Properties=species:S:1:pos:R:3 pbc="T T T"
Pr 7.270 2.658 6.438
Pr 6.588 7.567 0.842
Pr 1.632 7.567 6.438
Pr 0.618 0.710 5.539
Pr -0.064 5.618 -0.057
Pr 5.573 0.710 -0.057
Dy 6.182 1.892 3.190
Dy 2.932 0.589 2.596
Dy 2.599 2.985 -0.135
Dy 7.026 5.291 3.785
Dy 4.607 5.291 6.516
Dy 4.274 7.687 3.785
Dy 3.291 6.384 0.630
Dy 1.336 4.138 5.751
Dy 1.024 6.384 3.190
Dy 3.915 1.892 5.751
Dy 5.870 4.138 0.630
Dy 0.180 2.985 2.596
Ho 0.000 0.000 0.000
```

Calculated values
Energy relative to the elements   0.22 eV/atom
Energy above the most stable polymorph in this dataset   8.6 kJ/mol of atoms
Spin magnetization   0.00 μB per formula unit

=====

The following is a PBE-GGA calculation of Pr2Dy2Ho5 after structural relaxation, from Alexandria.

Geometry as extended XYZ:
```
18
Lattice="11.848 0.000 0.000 0.000 6.716 0.000 -5.924 -3.358 7.465" Properties=species:S:1:pos:R:3 pbc="T T T"
Pr 0.000 0.073 0.000
Pr 5.924 3.432 0.000
Pr 0.112 0.704 3.732
Pr 5.812 4.062 3.732
Dy -0.049 3.741 1.890
Dy 5.973 0.383 5.575
Dy 5.973 0.383 1.890
Dy -0.049 3.741 5.575
Ho -2.887 1.380 6.675
Ho 8.811 4.739 0.790
Ho -3.037 -1.978 6.675
Ho 8.961 1.380 0.790
Ho 2.788 -0.691 2.122
Ho 3.136 2.667 5.342
Ho 3.136 2.667 2.122
Ho 2.788 -0.691 5.342
Ho -2.916 2.694 3.732
Ho 8.840 -0.664 3.732
```

Calculated values
Energy relative to the elements   0.21 eV/atom
Energy above the most stable polymorph in this dataset   0.0 kJ/mol of atoms
Spin magnetization   0.00 μB per formula unit

=====

The following is a PBE-GGA calculation of PrDy12Ho6 after structural relaxation, from Alexandria.

Geometry as extended XYZ:
```
19
Lattice="-7.736 -0.105 -3.539 -2.316 -6.684 4.727 -3.093 5.087 6.077" Properties=species:S:1:pos:R:3 pbc="T T T"
Pr 0.000 0.000 0.000
Dy -8.590 -1.499 2.472
Dy -6.837 -2.454 5.420
Dy -7.603 0.973 4.836
Dy -4.556 -0.202 4.793
Dy -6.308 0.753 1.845
Dy -5.542 -2.674 2.429
Dy -1.663 0.413 3.119
Dy -10.671 0.651 6.261
Dy -9.719 -2.662 7.208
Dy -11.482 -2.114 4.146
Dy -2.474 -2.353 1.004
Dy -3.426 0.961 0.058
Ho -8.814 -4.552 3.555
Ho -6.204 -1.317 -0.654
Ho -3.108 -3.299 4.484
Ho -4.332 2.851 3.710
Ho -6.941 -0.384 7.919
Ho -10.038 1.598 2.781
```

Calculated values
Energy relative to the elements   0.16 eV/atom
Energy above the most stable polymorph in this dataset   0.0 kJ/mol of atoms
Spin magnetization   0.00 μB per formula unit

=====

The following is a PBE-GGA calculation of PrDy6Ho4 after structural relaxation, from Alexandria.

Geometry as extended XYZ:
```
22
Lattice="5.715 0.000 0.000 -2.857 4.804 0.000 0.000 0.000 25.643" Properties=species:S:1:pos:R:3 pbc="T T T"
Pr 2.857 2.964 6.411
Pr 0.000 1.840 19.232
Dy 2.857 0.000 0.000
Dy 2.857 0.000 12.821
Dy 0.000 1.330 8.197
Dy 2.857 3.474 17.445
Dy 2.857 3.474 21.019
Dy 0.000 1.330 4.624
Dy 2.857 2.951 10.224
Dy 0.000 1.853 15.419
Dy 0.000 1.853 23.045
Dy 2.857 2.951 2.597
Dy 0.000 4.550 6.411
Dy 2.857 0.253 19.232
Ho 2.857 3.308 13.900
Ho 0.000 4.488 3.109
Ho 0.000 1.496 11.743
Ho 2.857 0.315 22.534
Ho 2.857 3.308 24.565
Ho 0.000 1.496 1.078
Ho 2.857 0.315 15.931
Ho 0.000 4.488 9.712
```

Calculated values
Energy relative to the elements   0.12 eV/atom
Energy above the most stable polymorph in this dataset   0.0 kJ/mol of atoms
Spin magnetization   0.00 μB per formula unit

=====

The following is a PBE-GGA calculation of PrDy4Ho7 after structural relaxation, from Alexandria.

Geometry as extended XYZ:
```
12
Lattice="-1.292 6.323 3.090 -2.269 3.469 8.497 7.978 -0.199 3.730" Properties=species:S:1:pos:R:3 pbc="T T T"
Pr 0.000 0.000 0.000
Dy 0.355 5.786 9.012
Dy 4.062 3.808 6.306
Dy 2.613 7.131 11.332
Dy 1.805 2.462 3.986
Ho 5.873 6.282 10.298
Ho -1.456 3.311 5.019
Ho 3.416 6.984 7.857
Ho 1.001 2.609 7.461
Ho 3.257 3.972 9.782
Ho -0.646 3.162 1.545
Ho 1.161 5.621 5.536
```

Calculated values
Energy relative to the elements   0.00 eV/atom
Energy above the most stable polymorph in this dataset   0.0 kJ/mol of atoms
Spin magnetization   0.00 μB per formula unit

=====

The following is a PBE-GGA calculation of Pr5Dy3Ho after structural relaxation, from Alexandria.

Geometry as extended XYZ:
```
18
Lattice="-6.226 -1.216 -0.115 5.111 -9.721 1.031 -1.661 7.670 8.810" Properties=species:S:1:pos:R:3 pbc="T T T"
Pr -3.788 5.256 6.561
Pr -2.346 0.445 9.144
Pr -3.821 -2.777 1.220
Pr -0.430 -3.711 0.582
Pr -0.258 -4.741 4.061
Pr -4.099 1.198 2.134
Pr -3.717 -3.820 4.698
Pr 0.942 0.555 5.028
Pr -2.517 1.475 5.665
Pr 1.046 -0.489 8.505
Dy 0.000 0.000 0.000
Dy -1.231 -1.396 3.184
Dy -0.830 3.835 4.405
Dy -1.544 -1.870 6.542
Dy -5.505 1.767 7.525
Dy 2.730 -5.033 2.201
Ho -6.838 4.661 6.504
Ho -1.049 1.794 2.191
```

Calculated values
Energy relative to the elements   0.27 eV/atom
Energy above the most stable polymorph in this dataset   0.0 kJ/mol of atoms
Spin magnetization   0.00 μB per formula unit

=====

The following is a PBE-GGA calculation of Pr3Dy5Ho2 after structural relaxation, from Alexandria.

Geometry as extended XYZ:
```
20
Lattice="8.443 1.591 -3.936 0.242 8.537 -3.991 -1.712 -1.904 10.883" Properties=species:S:1:pos:R:3 pbc="T T T"
Pr 0.559 6.934 5.695
Pr 6.413 1.290 -2.739
Pr 5.866 4.737 -2.038
Pr 1.106 3.487 4.994
Pr -0.080 6.186 -0.439
Pr 7.052 2.039 3.395
Dy 2.350 4.809 -2.668
Dy 4.622 3.416 5.624
Dy -0.532 5.622 2.823
Dy 3.586 2.170 2.897
Dy 7.505 2.602 0.133
Dy 3.386 6.054 0.059
Dy 6.078 5.115 2.117
Dy 0.895 3.110 0.839
Dy 1.943 0.246 5.912
Dy 5.029 7.978 -2.956
Ho 5.232 -0.079 4.905
Ho 1.740 8.303 -1.949
Ho 2.842 5.504 3.264
Ho 4.130 2.720 -0.308
```

Calculated values
Energy relative to the elements   0.19 eV/atom
Spin magnetization   0.00 μB per formula unit

=====

The following is a PBE-GGA calculation of PrDy12Ho6 after structural relaxation, from Alexandria.

Geometry as extended XYZ:
```
19
Lattice="8.991 -1.181 -2.031 -2.264 8.781 -2.031 -1.045 -1.181 9.158" Properties=species:S:1:pos:R:3 pbc="T T T"
Pr 0.000 0.000 0.000
Dy 7.227 -0.672 2.548
Dy 2.598 0.485 2.331
Dy 2.335 2.638 -0.088
Dy 5.516 3.782 2.766
Dy 3.347 3.782 5.184
Dy 3.083 5.934 2.766
Dy 2.366 7.091 -1.812
Dy -1.070 3.210 6.908
Dy -1.545 7.091 2.548
Dy 3.316 -0.672 6.908
Dy 6.751 3.210 -1.812
Dy 0.166 2.638 2.331
Ho 4.861 0.659 4.360
Ho 4.341 4.905 -0.409
Ho 0.064 4.905 4.360
Ho 1.341 1.515 5.505
Ho 0.821 5.761 0.736
Ho 5.618 1.515 0.736
```

Calculated values
Energy relative to the elements   0.44 eV/atom
Energy above the most stable polymorph in this dataset   27.0 kJ/mol of atoms
Spin magnetization   0.00 μB per formula unit

=====

The following is a PBE-GGA calculation of Pr4Dy4Ho after structural relaxation, from Alexandria.

Geometry as extended XYZ:
```
9
Lattice="5.469 0.004 1.294 2.019 7.862 3.694 0.882 2.975 8.492" Properties=species:S:1:pos:R:3 pbc="T T T"
Pr 2.096 2.034 3.368
Pr 6.274 8.807 10.112
Pr 6.212 5.279 10.397
Pr 2.159 5.562 3.083
Dy 4.553 4.353 5.177
Dy 6.966 7.175 7.207
Dy 3.818 6.488 8.303
Dy 1.405 3.666 6.273
Ho 2.735 0.002 0.647
```

Calculated values
Energy relative to the elements   0.11 eV/atom
Energy above the most stable polymorph in this dataset   8.1 kJ/mol of atoms
Spin magnetization   0.00 μB per formula unit

=====

The following is a PBE-GGA calculation of Pr3Dy4Ho2 after structural relaxation, from Alexandria.

Geometry as extended XYZ:
```
18
Lattice="1.030 -5.796 -1.516 10.476 -2.431 -3.410 6.511 -5.882 7.092" Properties=species:S:1:pos:R:3 pbc="T T T"
Pr 3.170 -6.112 0.624
Pr 14.495 -11.649 3.081
Pr 14.847 -7.996 1.542
Pr 3.522 -2.460 -0.914
Pr 9.181 -5.232 0.325
Pr 8.837 -8.877 1.841
Dy 11.246 -5.742 -2.483
Dy 9.180 -2.923 -2.337
Dy 6.771 -8.366 4.650
Dy 8.837 -11.185 4.504
Dy 4.371 -3.255 2.288
Dy 12.101 -8.853 3.366
Dy 13.646 -10.854 -0.121
Dy 5.917 -5.256 -1.200
Ho 6.437 -6.081 2.163
Ho 10.021 -6.039 3.529
Ho 11.580 -8.028 0.004
Ho 7.997 -8.070 -1.363
```

Calculated values
Energy relative to the elements   0.10 eV/atom
Energy above the most stable polymorph in this dataset   7.8 kJ/mol of atoms
Spin magnetization   0.00 μB per formula unit

=====

The following is a PBE-GGA calculation of Pr6DyHo12 after structural relaxation, from Alexandria.

Geometry as extended XYZ:
```
19
Lattice="-7.319 -1.348 4.618 4.103 -7.528 1.793 4.207 5.185 5.668" Properties=species:S:1:pos:R:3 pbc="T T T"
Pr -1.399 0.878 9.901
Pr -1.457 -6.230 7.735
Pr 4.987 -2.577 8.321
Pr 2.449 2.540 4.345
Pr 2.391 -4.568 2.179
Pr -3.996 -1.113 3.759
Dy 0.000 0.000 0.000
Ho -2.429 -0.263 6.763
Ho -0.772 0.752 3.801
Ho -0.801 -2.733 2.739
Ho -1.367 -2.748 9.053
Ho 1.792 -0.957 9.341
Ho 1.764 -4.442 8.279
Ho 0.469 -5.100 5.048
Ho 3.447 -0.172 6.309
Ho 3.421 -3.427 5.317
Ho 0.522 1.410 7.032
Ho -2.456 -3.518 5.771
Ho 2.359 -0.942 3.027
```

Calculated values
Energy relative to the elements   0.22 eV/atom
Energy above the most stable polymorph in this dataset   0.0 kJ/mol of atoms
Spin magnetization   0.00 μB per formula unit

=====

The following is a PBE-GGA calculation of Pr7Dy2Ho after structural relaxation, from Alexandria.

Geometry as extended XYZ:
```
10
Lattice="5.682 0.000 0.000 0.000 9.417 -0.557 0.000 -4.745 8.153" Properties=species:S:1:pos:R:3 pbc="T T T"
Pr 0.000 6.296 1.363
Pr 0.000 -1.624 6.234
Pr 2.841 -0.759 2.349
Pr 2.841 5.431 5.248
Pr 2.841 2.438 0.382
Pr 2.841 2.233 7.214
Pr 2.841 2.336 3.798
Dy 2.841 5.241 2.012
Dy 2.841 -0.569 5.585
Ho 0.000 0.000 0.000
```

Calculated values
Energy relative to the elements   0.63 eV/atom
Energy above the most stable polymorph in this dataset   43.1 kJ/mol of atoms
Spin magnetization   0.00 μB per formula unit

=====

The following is a PBE-GGA calculation of Pr2Dy8Ho after structural relaxation, from Alexandria.

Geometry as extended XYZ:
```
11
Lattice="5.680 1.637 0.000 2.604 8.663 0.000 1.302 4.332 8.047" Properties=species:S:1:pos:R:3 pbc="T T T"
Pr 1.302 4.332 3.113
Pr 2.604 8.663 4.934
Dy 5.256 3.204 1.850
Dy 6.558 7.536 6.197
Dy 2.795 4.175 0.000
Dy 5.444 9.481 3.333
Dy 4.142 5.150 4.714
Dy 5.489 6.125 0.000
Dy 3.029 7.096 1.850
Dy 4.331 11.427 6.197
Ho 2.840 0.818 0.000
```

Calculated values
Energy relative to the elements   0.16 eV/atom
Energy above the most stable polymorph in this dataset   0.0 kJ/mol of atoms
Spin magnetization   0.00 μB per formula unit

=====

The following is a PBE-GGA calculation of Pr2Dy8Ho after structural relaxation, from Alexandria.

Geometry as extended XYZ:
```
11
Lattice="6.058 0.000 -2.731 -0.727 6.454 -1.613 0.362 0.733 8.887" Properties=species:S:1:pos:R:3 pbc="T T T"
Pr 4.255 4.819 1.355
Pr 1.437 2.368 3.188
Dy 4.770 2.703 -1.371
Dy 3.821 4.484 4.606
Dy 4.938 1.721 2.870
Dy 0.754 5.466 1.673
Dy 1.872 2.703 -0.064
Dy 0.922 4.484 5.913
Dy 2.973 5.990 -1.489
Dy 2.719 1.197 6.031
Ho 0.000 0.000 0.000
```

Calculated values
Energy relative to the elements   0.17 eV/atom
Energy above the most stable polymorph in this dataset   1.3 kJ/mol of atoms
Spin magnetization   0.00 μB per formula unit

=====

The following is a PBE-GGA calculation of Pr5Dy3Ho after structural relaxation, from Alexandria.

Geometry as extended XYZ:
```
18
Lattice="-4.192 -7.338 -4.118 6.577 -5.727 3.510 -5.185 5.532 6.151" Properties=species:S:1:pos:R:3 pbc="T T T"
Pr -0.352 0.295 6.228
Pr -5.508 -1.764 2.356
Pr -4.043 2.454 4.078
Pr -1.818 -3.923 4.506
Pr -2.447 -7.828 -0.684
Pr 2.708 -5.769 3.188
Pr 1.243 -9.988 1.466
Pr -0.982 -3.610 1.038
Pr 1.192 -6.532 -0.304
Pr 0.000 0.000 0.000
Dy -1.836 -5.095 -2.125
Dy 4.221 -7.970 1.518
Dy 0.272 -10.026 -1.530
Dy 2.113 -3.039 0.923
Dy -1.996 -0.500 2.924
Dy -0.804 -7.033 2.620
Ho -4.092 -4.169 0.865
Ho 1.292 -3.364 4.679
```

Calculated values
Energy relative to the elements   0.31 eV/atom
Energy above the most stable polymorph in this dataset   3.9 kJ/mol of atoms
Spin magnetization   0.00 μB per formula unit

=====

The following is a PBE-GGA calculation of Pr3Dy2Ho6 after structural relaxation, from Alexandria.

Geometry as extended XYZ:
```
11
Lattice="-0.311 -4.478 1.600 2.863 -1.457 -3.520 11.977 5.521 10.684" Properties=species:S:1:pos:R:3 pbc="T T T"
Pr 0.000 0.000 0.000
Pr 9.102 -1.460 4.783
Pr 5.427 1.046 3.982
Dy 12.028 2.318 8.826
Dy 2.501 -2.731 -0.061
Ho 4.613 -0.116 0.574
Ho 3.025 -1.626 3.134
Ho 9.916 -0.298 8.191
Ho 11.503 1.212 5.631
Ho 6.344 -1.991 2.759
Ho 8.184 1.577 6.006
```

Calculated values
Energy relative to the elements   0.27 eV/atom
Energy above the most stable polymorph in this dataset   10.6 kJ/mol of atoms
Spin magnetization   0.00 μB per formula unit

=====

The following is a PBE-GGA calculation of Pr2Dy12Ho5 after structural relaxation, from Alexandria.

Geometry as extended XYZ:
```
19
Lattice="-4.198 7.664 -2.930 -2.215 -9.622 -7.501 -2.388 1.749 7.997" Properties=species:S:1:pos:R:3 pbc="T T T"
Pr -2.874 5.248 -2.006
Pr -1.324 2.417 -0.924
Dy -1.540 -0.555 0.755
Dy -3.844 -4.792 2.226
Dy -6.524 0.100 0.356
Dy -3.377 -5.098 -2.942
Dy -4.985 -2.161 -4.065
Dy -4.482 4.532 3.780
Dy -4.320 -4.741 -6.213
Dy -5.425 4.888 0.509
Dy -3.816 1.952 1.631
Dy -4.957 4.583 -4.660
Dy -2.277 -0.310 -2.790
Dy -7.261 0.345 -3.189
Ho -4.077 -2.429 -0.512
Ho -4.120 -1.132 2.942
Ho -1.194 0.874 3.998
Ho -4.681 0.923 -5.376
Ho -4.724 2.219 -1.922
```

Calculated values
Energy relative to the elements   0.13 eV/atom
Energy above the most stable polymorph in this dataset   2.5 kJ/mol of atoms
Spin magnetization   0.00 μB per formula unit